(1)
First-principles (GGA-PBE) data for an optimized crystal structure of ZrMn2Cd, as listed in Alexandria.

Properties
As for the symmetry: P4/mmm. The energy relative to the elements comes out at 162 meV/atom.

Lattice parameters (Å, degrees): 3.2918 3.2918 6.4336 90.00 90.00 90.00
Atoms (fractional coordinates):
Zr  0.0000  0.0000  0.0000
Mn  0.5000  0.5000  0.2385
Mn  0.5000  0.5000  0.7615
Cd  0.0000  0.0000  0.5000

(2)
First-principles (GGA-PBE) data for an optimized crystal structure of HgPtS2, as listed in Alexandria.

Properties
As for the symmetry: P4/mmm. As for the uncorrected formation energy: 155 meV/atom.

Lattice parameters (Å, degrees): 3.7464 3.7464 5.2995 90.00 90.00 90.00
Atoms (fractional coordinates):
Hg  0.0000  0.0000  0.0000
Pt  0.5000  0.5000  0.5000
S  0.0000  0.0000  0.5000
S  0.5000  0.5000  0.0000

(3)
First-principles (GGA-PBE) data for an optimized crystal structure of Nb2InRe, as listed in Alexandria.

Properties
As for the symmetry: I-42d. The energy relative to the elements comes out at 550 meV/atom.

Lattice parameters (Å, degrees): 7.6350 7.6350 5.5641 90.00 90.00 90.00
Atoms (fractional coordinates):
Nb  0.1996  0.2500  0.1250
Nb  0.2500  0.6996  0.3750
Nb  0.2500  0.8004  0.8750
Nb  0.3004  0.2500  0.6250
Nb  0.6996  0.7500  0.6250
Nb  0.7500  0.1996  0.8750
Nb  0.7500  0.3004  0.3750
Nb  0.8004  0.7500  0.1250
In  0.0000  0.0000  0.5000
In  0.0000  0.5000  0.7500
In  0.5000  0.0000  0.2500
In  0.5000  0.5000  0.0000
Re  0.0000  0.0000  0.0000
Re  0.0000  0.5000  0.2500
Re  0.5000  0.0000  0.7500
Re  0.5000  0.5000  0.5000

(4)
First-principles (GGA-PBE) data for an optimized crystal structure of Pm4CuIr2, as listed in Alexandria.

Properties
As for the symmetry: P1. The energy relative to the elements comes out at -480 meV/atom.

Lattice parameters (Å, degrees): 7.6822 7.6848 7.6910 109.67 109.35 109.33
Atoms (fractional coordinates):
Pm  0.0000  0.0000  0.0000
Pm  0.9997  0.4995  0.0006
Pm  0.1316  0.3916  0.5213
Pm  0.3734  0.2617  0.8940
Pm  0.4986  0.8710  0.6271
Pm  0.5012  0.8714  0.1285
Pm  0.6307  0.3906  0.5208
Pm  0.8727  0.7640  0.3916
Cu  0.2506  0.0077  0.3846
Cu  0.7531  0.2574  0.1383
Ir  0.1325  0.7631  0.7601
Ir  0.3676  0.4979  0.2607
Ir  0.6330  0.6300  0.8927
Ir  0.8677  0.1316  0.6279

(5)
First-principles (GGA-PBE) data for an optimized crystal structure of Mn2NbGa, as listed in Alexandria.

Properties
As for the symmetry: I-42d. The energy relative to the elements comes out at 441 meV/atom.

Lattice parameters (Å, degrees): 6.9096 6.9096 5.3089 90.00 90.00 90.00
Atoms (fractional coordinates):
Mn  0.2441  0.2500  0.1250
Mn  0.2500  0.7441  0.3750
Mn  0.2500  0.7559  0.8750
Mn  0.2559  0.2500  0.6250
Mn  0.7441  0.7500  0.6250
Mn  0.7500  0.2441  0.8750
Mn  0.7500  0.2559  0.3750
Mn  0.7559  0.7500  0.1250
Nb  0.0000  0.0000  0.5000
Nb  0.0000  0.5000  0.7500
Nb  0.5000  0.0000  0.2500
Nb  0.5000  0.5000  0.0000
Ga  0.0000  0.0000  0.0000
Ga  0.0000  0.5000  0.2500
Ga  0.5000  0.0000  0.7500
Ga  0.5000  0.5000  0.5000

(6)
First-principles (GGA-PBE) data for an optimized crystal structure of Ca2SmInO, as listed in Alexandria.

Properties
As for the symmetry: P4/mmm. As for the uncorrected formation energy: -1427 meV/atom.

Lattice parameters (Å, degrees): 4.8437 4.8437 4.9836 90.00 90.00 90.00
Atoms (fractional coordinates):
Ca  0.0000  0.5000  0.0000
Ca  0.5000  0.0000  0.0000
Sm  0.0000  0.0000  0.5000
In  0.5000  0.5000  0.5000
O  0.0000  0.0000  0.0000

Theoretical density
In order: 7.47; 10.26; 9.97; 9.76; 7.14; 5.13
Unit: Mg/m³
Total magnetic moment
In order: 4.952; 0.000; 0.000; 0.000; 4.584; 0.000
Unit: μB/f.u.